VASP calculation (PBE) on crystalline YAsClO4 at its relaxed geometry.

## Properties
As for the space group: C2/m. As for the density of states at the Fermi level: 0.00 states/eV/cell. For the uncorrected formation energy, the calculation gives -1.903 eV per atom. The spin magnetization comes out at 0.0000 μB/atom.

Structure (CIF):
```
data_YAsClO4
_chemical_formula_sum 'Y2 As2 Cl2 O8'
_cell_length_a 6.478
_cell_length_b 6.478
_cell_length_c 6.827
_cell_angle_alpha 79.39
_cell_angle_beta 79.39
_cell_angle_gamma 61.93
_space_group_name_H-M_alt 'P 1'
_space_group_IT_number 1
loop_
_space_group_symop_operation_xyz
'x,y,z'
loop_
_atom_site_label
_atom_site_fract_x
_atom_site_fract_y
_atom_site_fract_z
As1 0.353 0.353 0.281
As2 0.647 0.647 0.719
O1 0.498 0.112 0.143
O2 0.112 0.498 0.143
O3 0.491 0.491 0.750
O4 0.509 0.509 0.250
O5 0.722 0.722 0.476
O6 0.888 0.502 0.857
O7 0.278 0.278 0.524
O8 0.502 0.888 0.857
Y1 0.292 0.292 0.843
Y2 0.708 0.708 0.157
Cl1 0.974 0.974 0.869
Cl2 0.026 0.026 0.131
```